Li3Nb: relaxed, PBE.

```
Li3Nb
1.0
5.755 0.000 0.000
-2.878 4.984 0.000
0.000 0.000 4.528
Li Nb
6 2
direct
0.166 0.332 0.250
0.166 0.834 0.250
0.332 0.166 0.750
0.668 0.834 0.250
0.834 0.166 0.750
0.834 0.668 0.750
0.333 0.667 0.750
0.667 0.333 0.250
```

Space group ... P6_3/mmc, No. 194
Calculated formation energy ... 0.678 eV/atom
D(E_F) ... 3.612 states/eV/f.u.
Calculated volume ... 16.238 A^3/atom

Bi6PtRh3: relaxed, PBE.

```
Bi6PtRh3
1.0
7.304 0.000 0.000
0.000 6.682 0.000
-7.176 0.000 9.849
Bi Pt Rh
12 2 6
direct
0.076 0.020 0.255
0.076 0.480 0.755
0.263 0.145 0.593
0.263 0.355 0.093
0.419 0.650 0.585
0.419 0.850 0.085
0.581 0.150 0.915
0.581 0.350 0.415
0.737 0.645 0.907
0.737 0.855 0.407
0.924 0.520 0.245
0.924 0.980 0.745
0.000 0.000 0.000
0.000 0.500 0.500
0.292 0.672 0.259
0.292 0.828 0.759
0.500 0.000 0.500
0.500 0.500 0.000
0.708 0.172 0.241
0.708 0.328 0.741
```

Space group ... P2_1/c, No. 14
Calculated formation energy ... -0.130 eV/atom
D(E_F) ... 6.478 states/eV/f.u.
Calculated volume ... 24.031 A^3/atom

SmDy2Tm8: relaxed, PBE.

```
SmDy2Tm8
1.0
8.591 -2.692 0.000
8.591 2.692 0.000
-3.684 0.000 7.386
Sm Dy Tm
1 2 8
direct
0.000 0.000 0.000
0.299 0.299 0.341
0.701 0.701 0.659
0.118 0.118 0.443
0.166 0.166 0.893
0.341 0.341 0.803
0.482 0.482 0.277
0.518 0.518 0.723
0.659 0.659 0.197
0.834 0.834 0.107
0.882 0.882 0.557
```

Space group ... C2/m, No. 12
Calculated formation energy ... 0.106 eV/atom
D(E_F) ... 18.254 states/eV/f.u.
Calculated volume ... 31.057 A^3/atom

Ca2BeSbTe: relaxed, PBE.

```
Ca2BeSbTe
1.0
5.831 0.000 0.000
0.000 5.831 0.000
0.000 0.000 4.625
Ca Be Sb Te
2 1 1 1
direct
0.000 0.500 0.000
0.500 0.000 0.000
0.000 0.000 0.500
0.500 0.500 0.500
0.000 0.000 0.000
```

Space group ... P4/mmm, No. 123
Formation energy (no corrections) ... -0.183 eV per atom
D(E_F) ... 4.386 states/eV/f.u.
Calculated volume ... 31.447 A^3/atom

Nd3ZrP4: relaxed, PBE.

```
Nd3ZrP4
1.0
4.064 -5.720 0.000
4.064 5.720 0.000
0.000 0.000 4.046
Nd Zr P
3 1 4
direct
0.000 0.000 0.000
0.000 0.500 0.500
0.500 0.000 0.500
0.500 0.500 0.000
0.260 0.740 0.000
0.268 0.268 0.500
0.732 0.732 0.500
0.740 0.260 0.000
```

Space group ... Cmmm, No. 65
Calculated formation energy ... -1.469 eV/atom
D(E_F) ... 1.551 states/eV/f.u.
Calculated volume ... 23.515 A^3/atom

Ca2HoCrN4: relaxed, PBE.

```
Ca2HoCrN4
1.0
7.220 0.000 0.000
0.000 6.736 0.000
0.000 0.000 5.121
Ca Ho Cr N
4 2 2 8
direct
0.244 0.162 0.000
0.256 0.838 0.500
0.744 0.838 0.500
0.756 0.162 0.000
0.000 0.367 0.507
0.500 0.633 0.007
0.000 0.673 0.046
0.500 0.327 0.546
0.000 0.407 0.969
0.000 0.674 0.392
0.219 0.801 0.974
0.281 0.199 0.474
0.500 0.326 0.892
0.500 0.593 0.469
0.719 0.199 0.474
0.781 0.801 0.974
```

Space group ... Pmn2_1, No. 31
Formation energy (no corrections) ... -0.998 eV per atom
D(E_F) ... 4.243 states/eV/f.u.
Calculated volume ... 15.568 A^3/atom

Sr2InPb9: relaxed, PBE.

```
Sr2InPb9
1.0
4.996 0.000 0.000
0.000 4.996 0.000
0.000 0.000 15.171
Sr In Pb
2 1 9
direct
0.000 0.000 0.164
0.000 0.000 0.836
0.000 0.000 0.500
0.000 0.500 0.000
0.000 0.500 0.338
0.000 0.500 0.662
0.500 0.000 0.000
0.500 0.000 0.338
0.500 0.000 0.662
0.500 0.500 0.170
0.500 0.500 0.500
0.500 0.500 0.830
```

Space group ... P4/mmm, No. 123
Calculated formation energy ... -0.207 eV/atom
D(E_F) ... 6.441 states/eV/f.u.
Calculated volume ... 31.556 A^3/atom

Tl3WBr: relaxed, PBE.

```
Tl3WBr
1.0
5.973 0.000 0.000
0.000 5.973 0.000
0.000 0.000 5.973
Tl W Br
3 1 1
direct
0.000 0.000 0.500
0.000 0.500 0.000
0.500 0.000 0.000
0.500 0.500 0.500
0.000 0.000 0.000
```

Space group ... Pm-3m, No. 221
Formation energy (no corrections) ... 1.320 eV per atom
D(E_F) ... 2.247 states/eV/f.u.
Calculated volume ... 42.618 A^3/atom

TbMgHgGe: relaxed, PBE.

```
TbMgHgGe
1.0
0.000 3.555 3.555
3.555 0.000 3.555
3.555 3.555 0.000
Tb Mg Hg Ge
1 1 1 1
direct
0.000 0.000 0.000
0.500 0.500 0.500
0.750 0.750 0.750
0.250 0.250 0.250
```

Space group ... F-43m, No. 216
Calculated formation energy ... -0.391 eV/atom
D(E_F) ... 2.663 states/eV/f.u.
Calculated volume ... 22.456 A^3/atom

Sc2BeSn: relaxed, PBE.

```
Sc2BeSn
1.0
-3.736 3.736 2.978
3.736 -3.736 2.978
3.736 3.736 -2.978
Sc Be Sn
4 2 2
direct
0.086 0.125 0.461
0.375 0.914 0.039
0.664 0.625 0.539
0.875 0.336 0.961
0.000 0.000 0.000
0.750 0.250 0.500
0.250 0.750 0.500
0.500 0.500 0.000
```

Space group ... I-42d, No. 122
Calculated formation energy ... 0.072 eV/atom
D(E_F) ... 2.859 states/eV/f.u.
Calculated volume ... 20.779 A^3/atom

Number 1: spin magnetization 0.01 μB per cell. Number 2: spin magnetization 0.00 μB per cell. Number 3: spin magnetization 0.00 μB per cell. Number 4: spin magnetization 0.00 μB per cell. Number 5: spin magnetization 0.00 μB per cell. Number 6: spin magnetization 2.00 μB per cell. Number 7: spin magnetization 0.00 μB per cell. Number 8: spin magnetization 4.69 μB per cell. Number 9: spin magnetization 0.00 μB per cell. Number 10: spin magnetization 0.00 μB per cell.